Entry 1:
4
Lattice="3.990 0.000 0.000 0.000 4.035 0.000 -1.995 -2.018 4.474" Properties=species:S:1:pos:R:3 comment="ScTa2Al (PBEsol, relaxed)" dft_energy_ev_per_fu=-36.127 magmom_total_mub_per_cell=0.0 formation_energy_ev_per_atom=-0.0821 spacegroup=Immm pbc="T T T"
Ta 1.995 2.018 2.228
Sc 1.995 0.000 0.000
Ta 0.000 0.000 2.247
Al 0.000 2.018 0.000


Entry 2:
5
Lattice="4.438 0.000 0.000 0.000 4.438 0.000 0.000 0.000 5.280" Properties=species:S:1:pos:R:3 comment="CaFeW2Cl (PBEsol, relaxed)" dft_energy_ev_per_fu=-34.649 magmom_total_mub_per_cell=2.3 e_form_raw_ev_per_atom=1.214 spacegroup=P4/mmm pbc="T T T"
W 2.219 0.000 0.000
Cl 0.000 0.000 2.640
Ca 2.219 2.219 2.640
W 0.000 2.219 0.000
Fe 0.000 0.000 0.000


Entry 3:
4
Lattice="2.743 0.000 0.000 0.000 2.743 0.000 0.000 0.000 7.840" Properties=species:S:1:pos:R:3 comment="ZnCu2Se (PBEsol, relaxed)" dft_energy_ev_per_fu=-13.480 polymorph_energy_kj_per_mol_atoms=10.4 magmom_total_mub_per_cell=0.0 e_form_raw_ev_per_atom=0.155 spacegroup=P4mm pbc="T T T"
Cu 0.000 0.000 0.081
Cu 1.372 1.372 1.709
Se 0.000 0.000 3.641
Zn 1.372 1.372 6.329


Entry 4:
4
Lattice="5.141 0.000 0.000 2.571 4.453 0.000 2.571 1.484 4.198" Properties=species:S:1:pos:R:3 comment="InGaSn2 (PBEsol, relaxed)" dft_energy_ev_per_fu=-14.630 magmom_total_mub_per_cell=0.0 formation_energy_ev_per_atom=0.0529 spacegroup=Fm-3m pbc="T T T"
Sn 7.712 4.453 3.148
Sn 2.571 1.484 1.049
In 5.141 2.968 2.099
Ga 0.000 0.000 0.000


Entry 5:
4
Lattice="-3.579 -1.110 -0.941 1.344 -1.561 -3.268 1.176 -7.058 3.855" Properties=species:S:1:pos:R:3 comment="La2YTe (PBEsol, relaxed)" dft_energy_ev_per_fu=-23.667 magmom_total_mub_per_cell=0.0 e_form_raw_ev_per_atom=-0.657 spacegroup=P4mm pbc="T T T"
La 1.154 -6.926 3.783
Te 0.619 -3.718 2.030
Y -0.278 -6.372 0.646
La -0.790 -3.301 -1.031


Entry 6:
4
Lattice="-2.262 -3.109 -0.942 2.075 0.171 -5.549 4.387 -3.654 1.528" Properties=species:S:1:pos:R:3 comment="BaTl2Cl (PBEsol, relaxed)" dft_energy_ev_per_fu=-11.987 polymorph_energy_kj_per_mol_atoms=20.9 magmom_total_mub_per_cell=0.0 e_form_raw_ev_per_atom=-0.643 spacegroup=Pmmm pbc="T T T"
Tl 1.553 0.128 -4.153
Cl 1.062 -3.382 0.293
Ba 2.100 -3.296 -2.482
Tl 0.522 0.043 -1.396